## CsSe2Cl2 (PBE-GGA)

Data for CsSe2Cl2 after structural relaxation.

```
CsSe2Cl2
1.0
9.5945 0.0000 0.0000
0.0000 9.5945 0.0000
0.0000 0.0000 3.2497
Se Cl Cs
4 4 2
Cartesian
2.0308 6.8280 1.6248
7.5636 2.7664 1.6248
2.7664 2.0308 1.6248
6.8280 7.5636 1.6248
8.2923 6.0994 0.0000
3.4950 8.2923 0.0000
1.3022 3.4950 0.0000
6.0994 1.3022 0.0000
0.0000 0.0000 0.0000
4.7972 4.7972 0.0000
```

The space group is P4/mbm. The crystal system is tetragonal.

## Cs2SeCl4 (PBE-GGA)

Data for Cs2SeCl4 after structural relaxation.

```
Cs2SeCl4
1.0
5.5988 0.0000 0.0000
0.0000 5.5988 0.0000
2.7994 2.7994 8.1932
Cs Cl Se
2 4 1
Cartesian
2.7994 2.7994 2.1748
5.5988 5.5988 6.0184
5.5988 5.5988 2.4667
2.7994 0.0000 0.0000
0.0000 2.7994 0.0000
2.7994 2.7994 5.7265
0.0000 0.0000 0.0000
```

The space group is I4/mmm. The crystal system is tetragonal.

## CsSe3Cl (PBE-GGA)

Data for CsSe3Cl after structural relaxation.

```
CsSe3Cl
1.0
-1.6717 -4.9808 -0.8820
4.7971 -1.8558 1.3875
-1.6045 -0.3589 5.0674
Cl Se Cs
1 3 1
Cartesian
0.0000 0.0000 0.0000
-0.8022 -0.1794 2.5337
-0.8359 -2.4904 -0.4410
2.3986 -0.9279 0.6937
0.7605 -3.5977 2.7864
```

The space group is Pm-3m. The crystal system is cubic.

Electronic total energy, record by record: -11.96 -20.93 -12.13 eV/f.u.
Magnetic moment, record by record: 0.00 0.00 0.00 μB per formula unit
Formation energy (no corrections), record by record: -0.088 -1.192 0.205 eV per atom